Here is Pm8Bi5Pb after structural relaxation from the Alexandria database. Energies are from GGA-PBE.

Computed properties:
The density of states at the Fermi level comes out at 1.16 states/eV per atom. Its total magnetization is 0.000 μB/atom. The value obtained for the total energy is -72.1 eV/cell.

Structure (POSCAR):
```
Pm8Bi5Pb
1.0
-3.745 6.745 -3.165
-1.379 -6.545 -4.981
-3.082 -1.576 7.587
Pm Pb Bi
8 1 5
Direct
0.481 0.606 0.230
0.125 0.749 0.017
0.624 0.394 0.875
0.770 0.252 0.376
0.983 0.108 0.732
0.268 0.251 0.376
0.125 0.748 0.519
0.624 0.892 0.875
0.250 0.500 0.750
0.999 0.375 0.124
0.750 0.625 0.624
0.876 0.875 0.250
0.500 0.000 0.500
0.376 0.125 0.001
```